## KMnP2 (PBE)

Data for a relaxed structure of KMnP2.

The formation energy from the elements comes out at 0.489 eV per atom. The value obtained for the calculated total energy is -4.78 eV/atom. As for the density of states at the Fermi level: 0.531 states/eV/atom. The offset from the most stable computed form is 813 meV per atom. Its magnetic moment is 12.4 μB per cell.

Cell lengths 6.7071, 6.7071, 6.7071 Å; angles 90.00, 90.00, 90.00 degrees
Space group Fm-3m (No. 225)
Asymmetric unit:
1 K 0.0000 0.0000 0.0000 (multiplicity 4)
2 Mn 0.0000 0.0000 0.5000 (multiplicity 4)
3 P 0.2500 0.2500 0.2500 (multiplicity 8)